No. 1
VASP calculation (GGA-PBE) on crystalline K2NdTlF8 at its relaxed geometry.

Values from the calculation:
* crystal system: monoclinic
* formation energy from raw total energies: -2.931 eV/atom
* symmetry: P2/m (10)

Cell lengths 3.955, 6.284, 7.930 Å; angles 90.00, 90.00, 90.31 degrees
Atoms (fractional coordinates):
F: 0.505 0.796 0.000
F: 0.003 0.793 0.244
F: 0.495 0.204 0.000
F: 0.997 0.207 0.756
K: 0.500 0.500 0.243
F: 0.501 0.213 0.500
Tl: 0.000 0.000 0.000
F: 0.003 0.793 0.756
F: 0.997 0.207 0.244
F: 0.499 0.787 0.500
Nd: 0.000 0.000 0.500
K: 0.500 0.500 0.757

=====

No. 2
VASP calculation (GGA-PBE) on crystalline PrTl3Bi2Te6 at its relaxed geometry.

Values from the calculation:
* crystal system: monoclinic
* formation energy from raw total energies: -0.558 eV/atom
* symmetry: C2/m (12)

Cell lengths 7.958, 7.958, 8.472 Å; angles 99.02, 99.02, 119.98 degrees
Atoms (fractional coordinates):
Te: 0.075 0.412 0.222
Te: 0.735 0.735 0.219
Bi: 0.334 0.666 0.000
Te: 0.412 0.075 0.222
Te: 0.265 0.265 0.781
Te: 0.588 0.925 0.778
Tl: 0.835 0.165 0.500
Bi: 0.666 0.334 0.000
Tl: 0.500 0.500 0.500
Te: 0.925 0.588 0.778
Tl: 0.165 0.835 0.500
Pr: 0.000 0.000 0.000

=====

No. 3
VASP calculation (GGA-PBE) on crystalline Mn2CuOsN at its relaxed geometry.

Values from the calculation:
* crystal system: tetragonal
* formation energy from raw total energies: 0.210 eV/atom
* symmetry: P4/mmm (123)

Cell lengths 3.769, 3.952, 3.769 Å; angles 90.00, 90.00, 90.00 degrees
Atoms (fractional coordinates):
Mn: 0.500 0.000 0.000
Os: 0.000 0.500 0.000
Mn: 0.000 0.000 0.500
N: 0.000 0.000 0.000
Cu: 0.500 0.500 0.500

=====

No. 4
VASP calculation (GGA-PBE) on crystalline SrCoCl2 at its relaxed geometry.

Values from the calculation:
* crystal system: monoclinic
* formation energy from raw total energies: -0.677 eV/atom
* energy relative to the lowest polymorph listed for this composition: 297 meV per atom
* symmetry: C2/m (12)

Cell lengths 5.155, 5.407, 5.076 Å; angles 63.93, 86.41, 116.57 degrees
Site moments in Bohr magnetons follow the coordinates.
Atoms (fractional coordinates):
Cl: 0.000 0.000 0.000  0.00
Sr: 0.500 0.500 0.000  -0.04
Cl: 0.500 0.000 0.500  0.00
Co: 0.000 0.500 0.500  1.75

=====

No. 5
VASP calculation (GGA-PBE) on crystalline AlAs2I8 at its relaxed geometry.

Values from the calculation:
* crystal system: monoclinic
* formation energy from raw total energies: -0.129 eV/atom
* symmetry: C2/m (12)

Cell lengths 8.285, 8.649, 10.651 Å; angles 96.87, 90.00, 118.62 degrees
Site moments in Bohr magnetons follow the coordinates.
Atoms (fractional coordinates):
I: 0.857 0.170 0.140  0.01
I: 0.256 0.512 0.588  0.01
Al: 0.000 0.000 0.000  0.00
I: 0.688 0.830 0.860  0.01
As: 0.793 0.587 0.657  0.10
I: 0.312 0.170 0.140  0.01
I: 0.143 0.830 0.860  0.01
I: 0.354 0.709 0.253  0.02
I: 0.744 0.488 0.412  0.01
As: 0.207 0.413 0.343  0.10
I: 0.646 0.291 0.747  0.02

=====

No. 6
VASP calculation (GGA-PBE) on crystalline AsRuPt2 at its relaxed geometry.

Values from the calculation:
* crystal system: tetragonal
* formation enthalpy at 0 K: 0.48 eV/f.u.
* symmetry: I-4m2 (119)

Cell lengths 4.634, 4.634, 4.634 Å; angles 126.65, 126.65, 78.82 degrees
Atoms (fractional coordinates):
Pt: 0.250 0.750 0.500
As: 0.750 0.250 0.500
Pt: 0.000 0.000 0.000
Ru: 0.500 0.500 0.000

=====

No. 7
VASP calculation (GGA-PBE) on crystalline TbCe5Ir4 at its relaxed geometry.

Values from the calculation:
* crystal system: monoclinic
* formation enthalpy at 0 K: -5.75 eV/f.u.
* symmetry: C2/m (12)

Cell lengths 4.157, 7.747, 9.011 Å; angles 108.32, 103.34, 90.00 degrees
Site moments in Bohr magnetons follow the coordinates.
Atoms (fractional coordinates):
Tb: 0.500 0.000 0.000  0.02
Ce: 0.172 0.372 0.344  0.72
Ir: 0.997 0.732 0.993  -0.04
Ce: 0.837 0.125 0.674  0.49
Ir: 0.003 0.268 0.007  -0.04
Ce: 0.828 0.628 0.656  0.72
Ir: 0.317 0.858 0.634  -0.05
Ir: 0.683 0.142 0.366  -0.05
Ce: 0.163 0.875 0.326  0.49
Ce: 0.500 0.500 0.000  0.32

=====

No. 8
VASP calculation (GGA-PBE) on crystalline CdGaPb6 at its relaxed geometry.

Values from the calculation:
* crystal system: monoclinic
* formation enthalpy at 0 K: 1.03 eV/f.u.
* energy relative to the lowest polymorph listed for this composition: 91 meV per atom
* symmetry: C2/m (12)

Cell lengths 7.011, 6.855, 6.924 Å; angles 60.33, 74.33, 56.93 degrees
Atoms (fractional coordinates):
Pb: 0.756 0.487 0.550
Pb: 0.244 0.513 0.450
Pb: 0.266 0.263 0.000
Cd: 0.000 0.000 0.000
Pb: 0.756 0.037 0.450
Pb: 0.244 0.963 0.550
Pb: 0.734 0.737 0.000
Ga: 0.500 0.500 0.000

=====

No. 9
VASP calculation (GGA-PBE) on crystalline LaAlO3 at its relaxed geometry.

Values from the calculation:
* crystal system: orthorhombic
* formation energy from raw total energies: -2.731 eV/atom
* symmetry: Amm2 (38)

Cell lengths 3.067, 5.872, 5.872 Å; angles 115.47, 90.00, 90.00 degrees
Atoms (fractional coordinates):
Al: 0.000 0.415 0.585
O: 0.000 0.234 0.766
O: 0.500 0.261 0.354
La: 0.500 0.072 0.928
O: 0.500 0.646 0.739

=====

No. 10
VASP calculation (GGA-PBE) on crystalline Li2ZrAl at its relaxed geometry.

Values from the calculation:
* crystal system: monoclinic
* formation enthalpy at 0 K: -0.17 eV/f.u.
* symmetry: C2/m (12)

Cell lengths 5.091, 5.091, 5.349 Å; angles 83.98, 83.98, 32.05 degrees
Atoms (fractional coordinates):
Al: 0.750 0.750 0.750
Li: 0.490 0.490 0.523
Zr: 0.250 0.250 0.250
Li: 0.010 0.010 0.977

=====

No. 11
VASP calculation (GGA-PBE) on crystalline Tm4Pd2C at its relaxed geometry.

Values from the calculation:
* crystal system: tetragonal
* formation enthalpy at 0 K: -1.73 eV/f.u.
* symmetry: I4/mmm (139)

Cell lengths 4.558, 4.558, 8.528 Å; angles 74.50, 74.50, 90.00 degrees
Atoms (fractional coordinates):
Tm: 0.500 0.000 0.000
C: 0.000 0.000 0.000
Tm: 0.314 0.314 0.372
Pd: 0.140 0.140 0.720
Tm: 0.686 0.686 0.628
Pd: 0.860 0.860 0.280
Tm: 0.000 0.500 0.000

=====

No. 12
VASP calculation (GGA-PBE) on crystalline Sr2MgTa at its relaxed geometry.

Values from the calculation:
* crystal system: tetragonal
* formation enthalpy at 0 K: 3.37 eV/f.u.
* symmetry: I-4m2 (119)

Cell lengths 6.184, 6.184, 6.184 Å; angles 132.20, 132.20, 69.91 degrees
Site moments in Bohr magnetons follow the coordinates.
Atoms (fractional coordinates):
Ta: 0.500 0.500 0.000  1.63
Sr: 0.000 0.000 0.000  0.06
Sr: 0.250 0.750 0.500  0.09
Mg: 0.750 0.250 0.500  0.00

=====

No. 13
VASP calculation (GGA-PBE) on crystalline PmSm3Ho3 at its relaxed geometry.

Values from the calculation:
* crystal system: trigonal
* formation enthalpy at 0 K: 1.08 eV/f.u.
* energy relative to the lowest polymorph listed for this composition: 135 meV per atom
* symmetry: R-3 (148)

Cell lengths 6.210, 6.210, 14.844 Å; angles 77.93, 77.93, 60.00 degrees
Atoms (fractional coordinates):
Ho: 0.267 0.600 0.199
Ho: 0.066 0.733 0.801
Sm: 0.537 0.200 0.396
Sm: 0.800 0.132 0.604
Pm: 0.667 0.667 0.000
Ho: 0.733 0.400 0.801
Ho: 0.400 0.066 0.801
Sm: 0.132 0.463 0.604
Sm: 0.463 0.800 0.604
Sm: 0.868 0.537 0.396
Sm: 0.200 0.868 0.396
Pm: 0.333 0.333 0.000
Ho: 0.934 0.267 0.199
Ho: 0.600 0.934 0.199

=====

No. 14
VASP calculation (GGA-PBE) on crystalline La5Tl2Ge at its relaxed geometry.

Values from the calculation:
* crystal system: orthorhombic
* formation enthalpy at 0 K: -3.68 eV/f.u.
* symmetry: Pbam (55)

Cell lengths 5.390, 7.010, 13.501 Å; angles 90.00, 90.00, 90.00 degrees
Atoms (fractional coordinates):
Tl: 0.500 0.395 0.844
Tl: 0.500 0.605 0.156
La: 0.000 0.858 0.216
La: 0.500 0.348 0.585
La: 0.000 0.642 0.716
La: 0.500 0.848 0.915
Ge: 0.000 0.500 0.500
La: 0.500 0.152 0.085
Ge: 0.000 0.000 0.000
La: 0.000 0.142 0.784
Tl: 0.500 0.895 0.656
Tl: 0.500 0.105 0.344
La: 0.000 0.000 0.500
La: 0.000 0.358 0.284
La: 0.000 0.500 0.000
La: 0.500 0.652 0.415

=====

No. 15
VASP calculation (GGA-PBE) on crystalline CoPb2W at its relaxed geometry.

Values from the calculation:
* crystal system: monoclinic
* formation enthalpy at 0 K: 4.27 eV/f.u.
* energy relative to the lowest polymorph listed for this composition: 653 meV per atom
* symmetry: P2/m (10)

Cell lengths 4.370, 3.096, 5.848 Å; angles 86.06, 90.00, 90.00 degrees
Site moments in Bohr magnetons follow the coordinates.
Atoms (fractional coordinates):
Pb: 0.000 0.559 0.508  -0.01
Co: 0.500 0.750 0.750  0.84
Pb: 0.000 0.941 0.992  -0.01
W: 0.500 0.250 0.250  0.00

=====

No. 16
VASP calculation (GGA-PBE) on crystalline In7Hg12Au at its relaxed geometry.

Values from the calculation:
* crystal system: trigonal
* formation enthalpy at 0 K: 0.02 eV/f.u.
* symmetry: R-3 (148)

Cell lengths 9.321, 9.321, 9.321 Å; angles 112.39, 112.39, 112.39 degrees
Atoms (fractional coordinates):
Hg: 0.913 0.621 0.166
Hg: 0.087 0.379 0.834
Hg: 0.582 0.187 0.522
Hg: 0.834 0.087 0.379
Hg: 0.478 0.418 0.813
Hg: 0.418 0.813 0.478
In: 0.634 0.853 0.935
In: 0.853 0.935 0.634
In: 0.500 0.500 0.500
In: 0.065 0.366 0.147
In: 0.147 0.065 0.366
In: 0.366 0.147 0.065
Hg: 0.187 0.522 0.582
Hg: 0.166 0.913 0.621
In: 0.935 0.634 0.853
Hg: 0.379 0.834 0.087
Hg: 0.522 0.582 0.187
Hg: 0.621 0.166 0.913
Hg: 0.813 0.478 0.418
Au: 0.000 0.000 0.000

=====

No. 17
VASP calculation (GGA-PBE) on crystalline Ca2TaZnPd at its relaxed geometry.

Values from the calculation:
* crystal system: tetragonal
* formation enthalpy at 0 K: 4.02 eV/f.u.
* symmetry: P4/mmm (123)

Cell lengths 5.432, 4.606, 5.432 Å; angles 90.00, 90.00, 90.00 degrees
Site moments in Bohr magnetons follow the coordinates.
Atoms (fractional coordinates):
Pd: 0.000 0.500 0.000  0.00
Ca: 0.500 0.000 0.000  0.06
Zn: 0.000 0.000 0.000  0.00
Ca: 0.000 0.000 0.500  0.08
Ta: 0.500 0.500 0.500  1.94

=====

No. 18
VASP calculation (GGA-PBE) on crystalline Tm2Ni4B at its relaxed geometry.

Values from the calculation:
* crystal system: tetragonal
* formation enthalpy at 0 K: -2.20 eV/f.u.
* symmetry: I4/mmm (139)

Cell lengths 5.125, 5.125, 5.556 Å; angles 117.46, 117.46, 90.03 degrees
Atoms (fractional coordinates):
Ni: 0.266 0.734 0.000
Tm: 0.250 0.750 0.500
Ni: 0.266 0.266 0.000
Ni: 0.734 0.266 0.000
Tm: 0.750 0.250 0.500
Ni: 0.734 0.734 0.000
B: 0.000 0.000 0.000

=====

No. 19
VASP calculation (GGA-PBE) on crystalline SrZr2Cd at its relaxed geometry.

Values from the calculation:
* crystal system: orthorhombic
* formation enthalpy at 0 K: 1.23 eV/f.u.
* symmetry: Pmmm (47)

Cell lengths 3.325, 5.419, 5.877 Å; angles 90.00, 90.00, 90.00 degrees
Atoms (fractional coordinates):
Zr: 0.500 0.500 0.000
Sr: 0.000 0.500 0.500
Zr: 0.000 0.000 0.000
Cd: 0.500 0.000 0.500

=====

No. 20
VASP calculation (GGA-PBE) on crystalline Na3NbTl at its relaxed geometry.

Values from the calculation:
* crystal system: cubic
* formation enthalpy at 0 K: 5.72 eV/f.u.
* energy relative to the lowest polymorph listed for this composition: 35 meV per atom
* symmetry: Pm-3m (221)

Cell lengths 5.929, 5.929, 5.929 Å; angles 90.00, 90.00, 90.00 degrees
Site moments in Bohr magnetons follow the coordinates.
Atoms (fractional coordinates):
Nb: 0.000 0.000 0.000  3.28
Na: 0.500 0.000 0.000  0.06
Tl: 0.500 0.500 0.500  -0.01
Na: 0.000 0.000 0.500  0.03
Na: 0.000 0.500 0.000  0.04

=====

No. 21
VASP calculation (GGA-PBE) on crystalline LiTaW2 at its relaxed geometry.

Values from the calculation:
* crystal system: tetragonal
* formation enthalpy at 0 K: 1.57 eV/f.u.
* energy relative to the lowest polymorph listed for this composition: 139 meV per atom
* symmetry: P4/mmm (123)

Cell lengths 4.373, 3.803, 3.803 Å; angles 90.00, 90.00, 90.00 degrees
Atoms (fractional coordinates):
W: 0.000 0.500 0.500
Li: 0.500 0.500 0.000
W: 0.000 0.000 0.000
Ta: 0.500 0.000 0.500

=====

No. 22
VASP calculation (GGA-PBE) on crystalline KSBr at its relaxed geometry.

Values from the calculation:
* crystal system: monoclinic
* formation energy from raw total energies: -0.926 eV/atom
* energy relative to the lowest polymorph listed for this composition: 32 meV per atom
* symmetry: C2/m (12)

Cell lengths 6.102, 6.101, 6.623 Å; angles 90.04, 90.04, 60.16 degrees
Site moments in Bohr magnetons follow the coordinates.
Atoms (fractional coordinates):
K: 0.334 0.334 0.758  0.00
S: 0.000 0.000 0.856  0.53
S: 0.000 0.000 0.144  0.53
Br: 0.667 0.667 0.735  0.08
K: 0.666 0.666 0.242  0.00
Br: 0.333 0.333 0.265  0.08

=====

No. 23
VASP calculation (GGA-PBE) on crystalline BeAgSb2 at its relaxed geometry.

Values from the calculation:
* crystal system: monoclinic
* formation energy from raw total energies: 0.350 eV/atom
* symmetry: P2/m (10)

Cell lengths 3.773, 3.054, 8.416 Å; angles 109.34, 90.00, 90.00 degrees
Atoms (fractional coordinates):
Ag: 0.500 0.250 0.250
Be: 0.500 0.750 0.750
Sb: 0.000 0.940 0.966
Sb: 0.000 0.560 0.534

=====

No. 24
VASP calculation (GGA-PBE) on crystalline BeCu2 at its relaxed geometry.

Values from the calculation:
* crystal system: orthorhombic
* formation enthalpy at 0 K: -0.14 eV/f.u.
* symmetry: Pnma (62)

Cell lengths 3.700, 4.826, 7.070 Å; angles 90.00, 90.00, 90.00 degrees
Atoms (fractional coordinates):
Be: 0.750 0.318 0.604
Cu: 0.250 0.671 0.064
Cu: 0.750 0.829 0.564
Cu: 0.750 0.329 0.936
Cu: 0.250 0.548 0.719
Cu: 0.250 0.171 0.436
Cu: 0.750 0.452 0.281
Cu: 0.750 0.952 0.219
Be: 0.250 0.682 0.396
Be: 0.750 0.818 0.896
Be: 0.250 0.182 0.104
Cu: 0.250 0.048 0.781

=====

No. 25
VASP calculation (GGA-PBE) on crystalline CsAcCd4 at its relaxed geometry.

Values from the calculation:
* crystal system: cubic
* formation enthalpy at 0 K: -0.14 eV/f.u.
* symmetry: F-43m (216)

Cell lengths 6.428, 6.428, 6.428 Å; angles 60.00, 60.00, 60.00 degrees
Atoms (fractional coordinates):
Ac: 0.250 0.250 0.250
Cd: 0.624 0.624 0.624
Cd: 0.624 0.128 0.624
Cd: 0.624 0.624 0.128
Cs: 0.000 0.000 0.000
Cd: 0.128 0.624 0.624